CeHo2TmIn4: optimized geometry, PBE.

Cell lengths 5.321, 5.321, 9.286 Å; angles 73.35, 73.35, 60.00 degrees
Fractional coordinates of all 8 atoms:
Ce 0.500 0.500 0.500
Ho 0.749 0.749 0.752
Ho 0.251 0.251 0.248
Tm 0.000 0.000 0.000
In 0.373 0.373 0.880
In 0.877 0.877 0.369
In 0.123 0.123 0.631
In 0.627 0.627 0.120

DFT formation energy (meV/atom): -413
Final energy (eV per atom): -4.227
Mass density (g/cm³): 8.487
Symmetry: No. 166

ZnCuP: optimized geometry, PBE.

Cell lengths 3.959, 3.959, 7.052 Å; angles 90.00, 90.00, 120.00 degrees
Fractional coordinates of all 6 atoms:
Zn 0.667 0.333 0.552
Zn 0.000 0.000 0.259
Cu 0.333 0.667 0.755
Cu 0.667 0.333 0.916
P 0.000 0.000 0.925
P 0.333 0.667 0.416

DFT formation energy (meV/atom): -88
Final energy (eV per atom): -3.682
Mass density (g/cm³): 5.548
Symmetry: No. 156

What is the formula in the second record?
ZnCuP

What is the formula in the second record?
ZnCuP

Which value of final energy does entry 1 give?
-4.227 eV per atom

Among the records above, which one has the highest DFT formation energy?
ZnCuP